Compound: PmBi2Pd7Pb2
Source: Alexandria
Functional: PBE-GGA
Structure: optimized geometry

The formation energy is -0.37 eV/atom.

It has space group C2/m (No. 12), with a = 5.808 Å, b = 5.789 Å, c = 16.007 Å, α = 90.00°, β = 95.57° and γ = 90.00°. The distinct sites, in fractional coordinates, are Pm at (0.000, 0.000, 0.000), Bi at (0.068, 0.500, 0.251), Pd at (0.000, 0.500, 0.000), Pd at (0.128, 0.500, 0.429), Pd at (0.213, 0.250, 0.865) and Pb at (0.125, 0.000, 0.405).

Compound: Na3Ge
Source: Alexandria
Functional: PBE-GGA
Structure: optimized geometry

The formation energy is 0.05 eV/atom.

It has space group Pm-3m (No. 221), with a = 4.698 Å, b = 4.698 Å, c = 4.698 Å, α = 90.00°, β = 90.00° and γ = 90.00°. The distinct sites, in fractional coordinates, are Na at (0.000, 0.000, 0.500) and Ge at (0.500, 0.500, 0.500).

Compound: CeCdRh
Source: Alexandria
Functional: PBE-GGA
Structure: optimized geometry

The formation energy is -0.61 eV/atom.

It has space group Cmcm (No. 63), with a = 3.736 Å, b = 18.141 Å, c = 3.972 Å, α = 90.00°, β = 90.00° and γ = 90.00°. The distinct sites, in fractional coordinates, are Ce at (0.000, 0.091, 0.250), Cd at (0.000, 0.288, 0.250) and Rh at (0.000, 0.441, 0.250).